# BaTaBeNi2 PBE-GGA relaxed
data_BaTaBeNi2
_symmetry_space_group_name_H-M 'P 1'
_symmetry_Int_Tables_number 1
_cell_length_a 4.712
_cell_length_b 4.719
_cell_length_c 4.712
_cell_angle_alpha 90.00
_cell_angle_beta 90.00
_cell_angle_gamma 90.00
loop_
_symmetry_equiv_pos_as_xyz
'x,y,z'
loop_
_atom_site_label
_atom_site_fract_x
_atom_site_fract_y
_atom_site_fract_z
_atom_site_occupancy
Ni1 0.000 0.000 0.500 1
Ni2 0.500 0.000 0.000 1
Be1 0.000 0.500 0.000 1
Ba1 0.000 0.000 0.000 1
Ta1 0.500 0.500 0.500 1
# Formation energy = 11.4 eV per formula unit
# Electronic total energy = -17.64 eV per cell
# Crystal system = tetragonal
# V = 20.96 A^3/atom

=====

# Ba2YBeNi PBE-GGA relaxed
data_Ba2YBeNi
_symmetry_space_group_name_H-M 'P 1'
_symmetry_Int_Tables_number 1
_cell_length_a 5.949
_cell_length_b 5.317
_cell_length_c 5.949
_cell_angle_alpha 90.00
_cell_angle_beta 90.00
_cell_angle_gamma 90.00
loop_
_symmetry_equiv_pos_as_xyz
'x,y,z'
loop_
_atom_site_label
_atom_site_fract_x
_atom_site_fract_y
_atom_site_fract_z
_atom_site_occupancy
Y1 0.000 0.500 0.000 1
Ni1 0.500 0.500 0.500 1
Ba1 0.000 0.000 0.500 1
Ba2 0.500 0.000 0.000 1
Be1 0.000 0.000 0.000 1
# Formation energy = 3.9 eV per formula unit
# Electronic total energy = -15.89 eV per cell
# Crystal system = tetragonal
# V = 37.63 A^3/atom

=====

# Ba2NpBe2O6 PBE-GGA relaxed
data_Ba2NpBe2O6
_symmetry_space_group_name_H-M 'P 1'
_symmetry_Int_Tables_number 1
_cell_length_a 5.700
_cell_length_b 5.700
_cell_length_c 6.680
_cell_angle_alpha 64.74
_cell_angle_beta 64.74
_cell_angle_gamma 60.00
loop_
_symmetry_equiv_pos_as_xyz
'x,y,z'
loop_
_atom_site_label
_atom_site_fract_x
_atom_site_fract_y
_atom_site_fract_z
_atom_site_occupancy
Ba1 0.782 0.782 0.655 1
Ba2 0.218 0.218 0.345 1
Np1 0.000 0.000 0.000 1
Be1 0.416 0.416 0.751 1
Be2 0.584 0.584 0.249 1
O1 0.743 0.743 0.243 1
O2 0.271 0.743 0.243 1
O3 0.743 0.271 0.243 1
O4 0.257 0.729 0.757 1
O5 0.729 0.257 0.757 1
O6 0.257 0.257 0.757 1
# Electronic total energy = -84.36 eV per cell
# Crystal system = trigonal
# Formation energy from raw total energies = -2.761 eV/atom
# V = 14.87 A^3/atom

=====

# BaNpBeO5 PBE-GGA relaxed
data_BaNpBeO5
_symmetry_space_group_name_H-M 'P 1'
_symmetry_Int_Tables_number 1
_cell_length_a 5.886
_cell_length_b 5.886
_cell_length_c 7.887
_cell_angle_alpha 104.43
_cell_angle_beta 104.43
_cell_angle_gamma 105.77
loop_
_symmetry_equiv_pos_as_xyz
'x,y,z'
loop_
_atom_site_label
_atom_site_fract_x
_atom_site_fract_y
_atom_site_fract_z
_atom_site_occupancy
Ba1 0.341 0.659 0.250 1
Ba2 0.659 0.341 0.750 1
Np1 0.000 0.000 0.500 1
Np2 0.000 0.000 0.000 1
Be1 0.692 0.308 0.250 1
Be2 0.308 0.692 0.750 1
O1 0.069 0.931 0.250 1
O2 0.931 0.069 0.750 1
O3 0.879 0.283 0.114 1
O4 0.121 0.717 0.886 1
O5 0.717 0.121 0.386 1
O6 0.283 0.879 0.614 1
O7 0.777 0.619 0.388 1
O8 0.223 0.381 0.612 1
O9 0.381 0.223 0.112 1
O10 0.619 0.777 0.888 1
# Electronic total energy = -130.77 eV per cell
# Crystal system = monoclinic
# Formation energy from raw total energies = -2.751 eV/atom
# V = 14.97 A^3/atom

=====

# BaNp2BeO8 PBE-GGA relaxed
data_BaNp2BeO8
_symmetry_space_group_name_H-M 'P 1'
_symmetry_Int_Tables_number 1
_cell_length_a 4.565
_cell_length_b 5.846
_cell_length_c 7.035
_cell_angle_alpha 96.44
_cell_angle_beta 86.59
_cell_angle_gamma 82.61
loop_
_symmetry_equiv_pos_as_xyz
'x,y,z'
loop_
_atom_site_label
_atom_site_fract_x
_atom_site_fract_y
_atom_site_fract_z
_atom_site_occupancy
Ba1 0.000 0.000 0.500 1
Np1 0.471 0.542 0.761 1
Np2 0.529 0.458 0.239 1
Be1 0.000 0.000 0.000 1
O1 0.127 0.607 0.279 1
O2 0.611 0.678 0.057 1
O3 0.888 0.174 0.163 1
O4 0.873 0.393 0.721 1
O5 0.389 0.322 0.943 1
O6 0.112 0.826 0.837 1
O7 0.552 0.720 0.539 1
O8 0.448 0.280 0.461 1
# Electronic total energy = -102.20 eV per cell
# Crystal system = triclinic
# Formation energy from raw total energies = -2.584 eV/atom
# V = 15.37 A^3/atom

=====

# Ba2NpBeO6 PBE-GGA relaxed
data_Ba2NpBeO6
_symmetry_space_group_name_H-M 'P 1'
_symmetry_Int_Tables_number 1
_cell_length_a 6.013
_cell_length_b 6.635
_cell_length_c 7.404
_cell_angle_alpha 90.00
_cell_angle_beta 90.00
_cell_angle_gamma 90.00
loop_
_symmetry_equiv_pos_as_xyz
'x,y,z'
loop_
_atom_site_label
_atom_site_fract_x
_atom_site_fract_y
_atom_site_fract_z
_atom_site_occupancy
Ba1 0.500 0.788 0.261 1
Ba2 0.000 0.212 0.761 1
Ba3 0.500 0.788 0.739 1
Ba4 0.000 0.212 0.239 1
Np1 0.500 0.283 0.500 1
Np2 0.000 0.717 0.000 1
Be1 0.000 0.632 0.500 1
Be2 0.500 0.368 0.000 1
O1 0.500 0.268 0.211 1
O2 0.500 0.268 0.789 1
O3 0.000 0.732 0.289 1
O4 0.000 0.732 0.711 1
O5 0.271 0.059 0.500 1
O6 0.729 0.059 0.500 1
O7 0.241 0.494 0.500 1
O8 0.759 0.494 0.500 1
O9 0.741 0.506 0.000 1
O10 0.259 0.506 0.000 1
O11 0.229 0.941 0.000 1
O12 0.771 0.941 0.000 1
# Electronic total energy = -156.34 eV per cell
# Crystal system = orthorhombic
# Formation energy from raw total energies = -2.791 eV/atom
# V = 14.77 A^3/atom

=====

# Ba2NpBeSe5 PBE-GGA relaxed
data_Ba2NpBeSe5
_symmetry_space_group_name_H-M 'P 1'
_symmetry_Int_Tables_number 1
_cell_length_a 4.241
_cell_length_b 9.477
_cell_length_c 13.525
_cell_angle_alpha 90.00
_cell_angle_beta 90.00
_cell_angle_gamma 102.93
loop_
_symmetry_equiv_pos_as_xyz
'x,y,z'
loop_
_atom_site_label
_atom_site_fract_x
_atom_site_fract_y
_atom_site_fract_z
_atom_site_occupancy
Ba1 0.880 0.761 0.837 1
Ba2 0.119 0.239 0.694 1
Ba3 0.120 0.239 0.337 1
Ba4 0.881 0.761 0.194 1
Np1 0.807 0.614 0.525 1
Np2 0.193 0.386 0.025 1
Be1 0.565 0.130 0.918 1
Be2 0.435 0.870 0.418 1
Se1 0.343 0.685 0.017 1
Se2 0.687 0.374 0.881 1
Se3 0.504 0.008 0.780 1
Se4 0.304 0.608 0.666 1
Se5 0.957 0.914 0.505 1
Se6 0.657 0.315 0.517 1
Se7 0.313 0.626 0.381 1
Se8 0.496 0.992 0.280 1
Se9 0.696 0.392 0.166 1
Se10 0.043 0.086 0.005 1
# Electronic total energy = -101.54 eV per cell
# Crystal system = orthorhombic
# Formation energy from raw total energies = -1.426 eV/atom
# V = 29.43 A^3/atom

=====

# Ba5BeO6 PBE-GGA relaxed
data_Ba5BeO6
_symmetry_space_group_name_H-M 'P 1'
_symmetry_Int_Tables_number 1
_cell_length_a 6.745
_cell_length_b 6.551
_cell_length_c 6.677
_cell_angle_alpha 60.62
_cell_angle_beta 82.98
_cell_angle_gamma 75.57
loop_
_symmetry_equiv_pos_as_xyz
'x,y,z'
loop_
_atom_site_label
_atom_site_fract_x
_atom_site_fract_y
_atom_site_fract_z
_atom_site_occupancy
Ba1 0.500 0.159 0.683 1
Ba2 0.000 0.322 0.356 1
Ba3 0.500 0.500 0.000 1
Ba4 0.000 0.678 0.644 1
Ba5 0.500 0.841 0.317 1
Be1 0.000 0.000 0.000 1
O1 0.711 0.114 0.362 1
O2 0.289 0.525 0.362 1
O3 0.126 0.159 0.000 1
O4 0.874 0.841 0.000 1
O5 0.711 0.475 0.638 1
O6 0.289 0.886 0.638 1
# Electronic total energy = -70.29 eV per cell
# Crystal system = monoclinic
# Formation energy from raw total energies = -2.267 eV/atom
# V = 20.75 A^3/atom

=====

# Ba3BeO PBE-GGA relaxed
data_Ba3BeO
_symmetry_space_group_name_H-M 'P 1'
_symmetry_Int_Tables_number 1
_cell_length_a 5.483
_cell_length_b 5.483
_cell_length_c 5.483
_cell_angle_alpha 90.00
_cell_angle_beta 90.00
_cell_angle_gamma 90.00
loop_
_symmetry_equiv_pos_as_xyz
'x,y,z'
loop_
_atom_site_label
_atom_site_fract_x
_atom_site_fract_y
_atom_site_fract_z
_atom_site_occupancy
Be1 0.500 0.500 0.500 1
Ba1 0.000 0.500 0.000 1
Ba2 0.000 0.000 0.500 1
Ba3 0.500 0.000 0.000 1
O1 0.000 0.000 0.000 1
# Distance to the lowest polymorph of the same formula = 0.000 eV per atom
# Electronic total energy = -17.80 eV per cell
# Crystal system = cubic
# Formation energy from raw total energies = -0.670 eV/atom
# V = 32.96 A^3/atom

=====

# Ba2BeO3 PBE-GGA relaxed
data_Ba2BeO3
_symmetry_space_group_name_H-M 'P 1'
_symmetry_Int_Tables_number 1
_cell_length_a 6.648
_cell_length_b 6.648
_cell_length_c 7.392
_cell_angle_alpha 109.25
_cell_angle_beta 109.25
_cell_angle_gamma 112.77
loop_
_symmetry_equiv_pos_as_xyz
'x,y,z'
loop_
_atom_site_label
_atom_site_fract_x
_atom_site_fract_y
_atom_site_fract_z
_atom_site_occupancy
Ba1 0.284 0.716 0.500 1
Ba2 0.754 0.754 0.035 1
Ba3 0.716 0.284 0.500 1
Ba4 0.246 0.246 0.965 1
Be1 0.724 0.724 0.441 1
Be2 0.276 0.276 0.559 1
O1 0.548 0.787 0.300 1
O2 0.213 0.452 0.700 1
O3 0.452 0.213 0.700 1
O4 0.787 0.548 0.300 1
O5 0.203 0.203 0.312 1
O6 0.797 0.797 0.688 1
# Electronic total energy = -75.21 eV per cell
# Crystal system = monoclinic
# Formation energy from raw total energies = -2.526 eV/atom
# V = 20.17 A^3/atom

=====

# BaBeO2 PBE-GGA relaxed
data_BaBeO2
_symmetry_space_group_name_H-M 'P 1'
_symmetry_Int_Tables_number 1
_cell_length_a 8.103
_cell_length_b 4.334
_cell_length_c 5.734
_cell_angle_alpha 90.00
_cell_angle_beta 134.95
_cell_angle_gamma 90.00
loop_
_symmetry_equiv_pos_as_xyz
'x,y,z'
loop_
_atom_site_label
_atom_site_fract_x
_atom_site_fract_y
_atom_site_fract_z
_atom_site_occupancy
Ba1 0.863 0.121 0.953 1
Ba2 0.363 0.621 0.954 1
Be1 0.363 0.871 0.454 1
Be2 0.363 0.371 0.454 1
O1 0.363 0.121 0.671 1
O2 0.145 0.621 0.236 1
O3 0.581 0.621 0.671 1
O4 0.363 0.121 0.236 1
# Electronic total energy = -51.67 eV per cell
# Crystal system = orthorhombic
# Formation energy from raw total energies = -2.568 eV/atom
# V = 17.81 A^3/atom

=====

# BaBeO2 PBE-GGA relaxed
data_BaBeO2
_symmetry_space_group_name_H-M 'P 1'
_symmetry_Int_Tables_number 1
_cell_length_a 5.398
_cell_length_b 5.398
_cell_length_c 5.239
_cell_angle_alpha 58.99
_cell_angle_beta 58.99
_cell_angle_gamma 90.00
loop_
_symmetry_equiv_pos_as_xyz
'x,y,z'
loop_
_atom_site_label
_atom_site_fract_x
_atom_site_fract_y
_atom_site_fract_z
_atom_site_occupancy
Be1 0.500 0.500 0.000 1
Be2 0.250 0.750 0.500 1
Ba1 0.000 0.000 0.000 1
Ba2 0.750 0.250 0.500 1
O1 0.470 0.125 0.250 1
O2 0.280 0.625 0.250 1
O3 0.375 0.530 0.750 1
O4 0.875 0.720 0.750 1
# Electronic total energy = -50.64 eV per cell
# Crystal system = tetragonal
# Formation energy from raw total energies = -2.438 eV/atom
# V = 13.07 A^3/atom